First-principles (PBE-GGA) data for a relaxed KBaSr2 crystal, as listed in Alexandria.

a = 8.352 Å, b = 8.352 Å, c = 8.352 Å
α = 147.14°, β = 129.39°, γ = 61.67°
Fractional coordinates of all 4 atoms:
K  0.000  0.000  0.000
Ba  0.500  0.500  0.000
Sr  0.244  0.744  0.500
Sr  0.756  0.256  0.500


First-principles (PBE-GGA) data for a relaxed KBa12Sr7 crystal, as listed in Alexandria.

a = 12.849 Å, b = 12.849 Å, c = 12.849 Å
α = 109.47°, β = 109.47°, γ = 109.47°
Fractional coordinates of all 20 atoms:
K  0.000  0.000  0.000
Ba  0.103  0.753  0.349
Ba  0.247  0.349  0.596
Ba  0.247  0.651  0.897
Ba  0.349  0.103  0.753
Ba  0.349  0.596  0.247
Ba  0.404  0.753  0.651
Ba  0.596  0.247  0.349
Ba  0.651  0.404  0.753
Ba  0.651  0.897  0.247
Ba  0.753  0.349  0.103
Ba  0.753  0.651  0.404
Ba  0.897  0.247  0.651
Sr  0.000  0.000  0.500
Sr  0.000  0.500  0.000
Sr  0.000  0.500  0.500
Sr  0.500  0.000  0.000
Sr  0.500  0.000  0.500
Sr  0.500  0.500  0.000
Sr  0.500  0.500  0.500


First-principles (PBE-GGA) data for a relaxed KBaSr2 crystal, as listed in Alexandria.

a = 8.754 Å, b = 8.754 Å, c = 8.754 Å
α = 102.92°, β = 102.92°, γ = 123.55°
Fractional coordinates of all 8 atoms:
K  0.000  0.000  0.000
K  0.750  0.250  0.500
Ba  0.250  0.750  0.500
Ba  0.500  0.500  0.000
Sr  0.110  0.625  0.985
Sr  0.375  0.360  0.485
Sr  0.640  0.125  0.015
Sr  0.875  0.890  0.515


First-principles (PBE-GGA) data for a relaxed KBa6Sr5 crystal, as listed in Alexandria.

a = 11.756 Å, b = 11.756 Å, c = 11.756 Å
α = 149.30°, β = 116.16°, γ = 72.50°
Fractional coordinates of all 12 atoms:
K  0.000  0.000  0.000
Ba  0.084  0.832  0.252
Ba  0.253  0.500  0.753
Ba  0.420  0.168  0.252
Ba  0.580  0.832  0.748
Ba  0.747  0.500  0.247
Ba  0.916  0.168  0.748
Sr  0.170  0.670  0.500
Sr  0.334  0.334  0.000
Sr  0.500  0.000  0.500
Sr  0.666  0.666  0.000
Sr  0.830  0.330  0.500


First-principles (PBE-GGA) data for a relaxed KBaSr2 crystal, as listed in Alexandria.

a = 7.652 Å, b = 7.652 Å, c = 7.652 Å
α = 132.09°, β = 132.09°, γ = 70.09°
Fractional coordinates of all 4 atoms:
K  0.000  0.000  0.000
Ba  0.750  0.250  0.500
Sr  0.250  0.750  0.500
Sr  0.500  0.500  0.000


First-principles (PBE-GGA) data for a relaxed KBa2SrW crystal, as listed in Alexandria.

a = 6.438 Å, b = 6.438 Å, c = 5.938 Å
α = 90.00°, β = 90.00°, γ = 90.00°
Fractional coordinates of all 5 atoms:
K  0.000  0.000  0.000
Ba  0.000  0.500  0.500
Ba  0.500  0.000  0.500
Sr  0.000  0.000  0.500
W  0.500  0.500  0.000


First-principles (PBE-GGA) data for a relaxed KBaSr2Zn crystal, as listed in Alexandria.

a = 6.429 Å, b = 6.429 Å, c = 6.549 Å
α = 90.00°, β = 90.00°, γ = 90.00°
Fractional coordinates of all 5 atoms:
K  0.000  0.000  0.000
Ba  0.500  0.500  0.000
Sr  0.000  0.500  0.500
Sr  0.500  0.000  0.500
Zn  0.500  0.500  0.500


First-principles (PBE-GGA) data for a relaxed KBaSr2Zn crystal, as listed in Alexandria.

a = 6.321 Å, b = 6.321 Å, c = 6.699 Å
α = 90.00°, β = 90.00°, γ = 90.00°
Fractional coordinates of all 5 atoms:
K  0.000  0.000  0.000
Ba  0.500  0.500  0.000
Sr  0.000  0.500  0.500
Sr  0.500  0.000  0.500
Zn  0.000  0.000  0.500


First-principles (PBE-GGA) data for a relaxed KBaTa crystal, as listed in Alexandria.

a = 15.956 Å, b = 4.555 Å, c = 7.775 Å
α = 90.00°, β = 90.00°, γ = 90.00°
Fractional coordinates of all 12 atoms:
K  0.078  0.250  0.109
K  0.422  0.750  0.609
K  0.578  0.250  0.391
K  0.922  0.750  0.891
Ba  0.181  0.250  0.621
Ba  0.319  0.750  0.121
Ba  0.681  0.250  0.879
Ba  0.819  0.750  0.379
Ta  0.031  0.750  0.485
Ta  0.469  0.250  0.985
Ta  0.531  0.750  0.015
Ta  0.969  0.250  0.515


First-principles (PBE-GGA) data for a relaxed KBaTa crystal, as listed in Alexandria.

a = 3.638 Å, b = 4.828 Å, c = 17.233 Å
α = 89.47°, β = 84.38°, γ = 68.54°
Fractional coordinates of all 6 atoms:
K  0.000  0.000  0.000
K  0.326  0.516  0.223
Ba  0.529  0.460  0.769
Ba  0.865  0.070  0.454
Ta  0.066  0.542  0.596
Ta  0.328  0.989  0.627


First-principles (PBE-GGA) data for a relaxed KBaTa crystal, as listed in Alexandria.

a = 6.227 Å, b = 6.227 Å, c = 7.334 Å
α = 90.00°, β = 90.00°, γ = 120.00°
Fractional coordinates of all 6 atoms:
K  0.000  0.000  0.000
K  0.000  0.000  0.500
Ba  0.333  0.667  0.250
Ba  0.667  0.333  0.750
Ta  0.333  0.667  0.750
Ta  0.667  0.333  0.250


First-principles (PBE-GGA) data for a relaxed KBaTa crystal, as listed in Alexandria.

a = 4.676 Å, b = 6.992 Å, c = 17.740 Å
α = 90.00°, β = 90.00°, γ = 90.00°
Fractional coordinates of all 12 atoms:
K  0.087  0.250  0.167
K  0.413  0.750  0.667
K  0.587  0.250  0.333
K  0.913  0.750  0.833
Ba  0.196  0.750  0.419
Ba  0.304  0.250  0.919
Ba  0.696  0.750  0.081
Ba  0.804  0.250  0.581
Ta  0.208  0.750  0.226
Ta  0.292  0.250  0.726
Ta  0.708  0.750  0.274
Ta  0.792  0.250  0.774


First-principles (PBE-GGA) data for a relaxed KBaTa4 crystal, as listed in Alexandria.

a = 6.102 Å, b = 6.102 Å, c = 6.102 Å
α = 60.00°, β = 60.00°, γ = 60.00°
Fractional coordinates of all 6 atoms:
K  0.000  0.000  0.000
Ba  0.250  0.250  0.250
Ta  0.165  0.612  0.612
Ta  0.612  0.165  0.612
Ta  0.612  0.612  0.165
Ta  0.612  0.612  0.612


First-principles (PBE-GGA) data for a relaxed KBaTa crystal, as listed in Alexandria.

a = 6.115 Å, b = 6.115 Å, c = 3.071 Å
α = 90.00°, β = 90.00°, γ = 120.00°
Fractional coordinates of all 3 atoms:
K  0.000  0.000  0.000
Ba  0.333  0.667  0.500
Ta  0.667  0.333  0.500


First-principles (PBE-GGA) data for a relaxed KBaTa crystal, as listed in Alexandria.

a = 3.592 Å, b = 7.405 Å, c = 10.283 Å
α = 70.03°, β = 89.78°, γ = 75.98°
Fractional coordinates of all 6 atoms:
K  0.000  0.000  0.000
K  0.295  0.409  0.139
Ba  0.359  0.268  0.534
Ba  0.654  0.674  0.696
Ta  0.024  0.942  0.388
Ta  0.643  0.706  0.350


First-principles (PBE-GGA) data for a relaxed KBaTa crystal, as listed in Alexandria.

a = 5.997 Å, b = 5.997 Å, c = 5.997 Å
α = 60.00°, β = 60.00°, γ = 60.00°
Fractional coordinates of all 3 atoms:
K  0.000  0.000  0.000
Ba  0.500  0.500  0.500
Ta  0.750  0.750  0.750


First-principles (PBE-GGA) data for a relaxed KBaTa crystal, as listed in Alexandria.

a = 3.424 Å, b = 3.424 Å, c = 9.908 Å
α = 90.00°, β = 90.00°, γ = 120.00°
Fractional coordinates of all 3 atoms:
K  0.000  0.000  0.000
Ba  0.333  0.667  0.585
Ta  0.667  0.333  0.310


First-principles (PBE-GGA) data for a relaxed KBaTa crystal, as listed in Alexandria.

a = 9.824 Å, b = 9.819 Å, c = 3.340 Å
α = 80.29°, β = 80.13°, γ = 19.58°
Fractional coordinates of all 3 atoms:
K  0.000  0.000  0.000
Ba  0.285  0.285  0.715
Ta  0.656  0.656  0.344


First-principles (PBE-GGA) data for a relaxed KBaTa crystal, as listed in Alexandria.

a = 6.598 Å, b = 6.598 Å, c = 11.211 Å
α = 90.00°, β = 90.00°, γ = 120.00°
Fractional coordinates of all 6 atoms:
K  0.333  0.667  0.250
K  0.667  0.333  0.750
Ba  0.000  0.000  0.250
Ba  0.000  0.000  0.750
Ta  0.000  0.000  0.000
Ta  0.000  0.000  0.500


First-principles (PBE-GGA) data for a relaxed K4BaTa crystal, as listed in Alexandria.

a = 7.515 Å, b = 7.515 Å, c = 7.515 Å
α = 60.00°, β = 60.00°, γ = 60.00°
Fractional coordinates of all 6 atoms:
K  0.123  0.123  0.123
K  0.123  0.123  0.632
K  0.123  0.632  0.123
K  0.632  0.123  0.123
Ba  0.500  0.500  0.500
Ta  0.750  0.750  0.750


First-principles (PBE-GGA) data for a relaxed KBaTa crystal, as listed in Alexandria.

a = 7.695 Å, b = 7.695 Å, c = 6.171 Å
α = 90.00°, β = 90.00°, γ = 135.75°
Fractional coordinates of all 6 atoms:
K  0.231  0.769  0.750
K  0.769  0.231  0.250
Ba  0.500  0.500  0.000
Ba  0.500  0.500  0.500
Ta  0.015  0.985  0.250
Ta  0.985  0.015  0.750


First-principles (PBE-GGA) data for a relaxed KBaTa crystal, as listed in Alexandria.

a = 4.628 Å, b = 4.631 Å, c = 17.009 Å
α = 82.19°, β = 82.21°, γ = 60.08°
Fractional coordinates of all 6 atoms:
K  0.000  0.000  0.000
K  0.409  0.420  0.774
Ba  0.153  0.161  0.525
Ba  0.244  0.253  0.248
Ta  0.532  0.541  0.387
Ta  0.865  0.874  0.386


First-principles (PBE-GGA) data for a relaxed KBaTa crystal, as listed in Alexandria.

a = 5.498 Å, b = 5.498 Å, c = 9.564 Å
α = 90.00°, β = 90.00°, γ = 90.00°
Fractional coordinates of all 6 atoms:
K  0.250  0.250  0.133
K  0.750  0.750  0.867
Ba  0.250  0.750  0.500
Ba  0.750  0.250  0.500
Ta  0.250  0.250  0.730
Ta  0.750  0.750  0.270


First-principles (PBE-GGA) data for a relaxed KBaTa crystal, as listed in Alexandria.

a = 3.590 Å, b = 6.530 Å, c = 11.453 Å
α = 76.82°, β = 83.52°, γ = 74.99°
Fractional coordinates of all 6 atoms:
K  0.213  0.290  0.380
K  0.787  0.710  0.620
Ba  0.495  0.138  0.834
Ba  0.505  0.862  0.166
Ta  0.206  0.629  0.941
Ta  0.794  0.371  0.059


First-principles (PBE-GGA) data for a relaxed KBaTa crystal, as listed in Alexandria.

a = 6.080 Å, b = 6.080 Å, c = 9.032 Å
α = 90.00°, β = 90.00°, γ = 120.00°
Fractional coordinates of all 6 atoms:
K  0.000  0.000  0.000
K  0.000  0.000  0.500
Ba  0.667  0.333  0.217
Ba  0.667  0.333  0.783
Ta  0.333  0.667  0.126
Ta  0.333  0.667  0.874


First-principles (PBE-GGA) data for a relaxed KBaTa crystal, as listed in Alexandria.

a = 6.604 Å, b = 6.604 Å, c = 6.604 Å
α = 152.00°, β = 128.43°, γ = 59.71°
Fractional coordinates of all 3 atoms:
K  0.000  0.000  0.000
Ba  0.316  0.316  0.000
Ta  0.671  0.671  0.000


| no. | VASP energy (eV/atom) | formation energy from the elements (eV/atom) | V (Å³/cell) |
| --- | --- | --- | --- |
| 1 | -1.51 | 0.090 | 241.9 |
| 2 | -1.39 | 0.410 | 1632.8 |
| 3 | -1.32 | 0.277 | 492.6 |
| 4 | -1.72 | 0.036 | 733.5 |
| 5 | -1.50 | 0.093 | 241.9 |
| 6 | -1.68 | 2.232 | 246.1 |
| 7 | -1.53 | 0.000 | 270.7 |
| 8 | -1.45 | 0.078 | 267.7 |
| 9 | -4.08 | 0.880 | 565.0 |
| 10 | -4.38 | 0.573 | 280.3 |
| 11 | -3.43 | 1.528 | 246.3 |
| 12 | -4.07 | 0.883 | 580.0 |
| 13 | -7.23 | 1.174 | 160.7 |
| 14 | -3.50 | 1.454 | 99.5 |
| 15 | -4.14 | 0.822 | 248.5 |
| 16 | -3.26 | 1.699 | 152.5 |
| 17 | -3.75 | 1.204 | 100.6 |
| 18 | -3.76 | 1.198 | 106.3 |
| 19 | -2.48 | 2.479 | 422.6 |
| 20 | -1.97 | 1.055 | 300.1 |
| 21 | -3.54 | 1.420 | 254.9 |
| 22 | -4.38 | 0.575 | 312.1 |
| 23 | -3.33 | 1.626 | 289.2 |
| 24 | -4.19 | 0.766 | 252.1 |
| 25 | -3.78 | 1.180 | 289.1 |
| 26 | -3.55 | 1.409 | 105.2 |